[1]
{
  "formula": "PrHo2Sc",
  "functional": "PBE",
  "state": "relaxed",
  "lattice": [[0.000, 3.952, 3.952], [3.952, 0.000, 3.952], [3.952, 3.952, 0.000]],
  "species": ["Pr", "Ho", "Ho", "Sc"],
  "frac_coords": [[0.000, 0.000, 0.000], [0.250, 0.250, 0.250], [0.750, 0.750, 0.750], [0.500, 0.500, 0.500]],
  "formation_energy_kj_per_mol_atoms": 15.19,
  "magmom_total_mub_per_cell": 0.0,
  "e_above_lowest_polymorph_kcal_per_mol_atoms": 2.580,
  "dos_ef_per_ev_cell": 9.33
}



[2]
{
  "formula": "PrHo4Sc4",
  "functional": "PBE",
  "state": "relaxed",
  "lattice": [[-5.155, 5.155, 2.407], [5.155, -5.155, 2.407], [5.155, 5.155, -2.407]],
  "species": ["Pr", "Ho", "Ho", "Ho", "Ho", "Sc", "Sc", "Sc", "Sc"],
  "frac_coords": [[0.000, 0.000, 0.000], [0.000, 0.330, 0.330], [0.000, 0.670, 0.670], [0.330, 0.000, 0.330], [0.670, 0.000, 0.670], [0.331, 0.331, 0.663], [0.331, 0.669, 0.000], [0.669, 0.331, 0.000], [0.669, 0.669, 0.337]],
  "formation_energy_kj_per_mol_atoms": 5.49,
  "magmom_total_mub_per_cell": 0.0,
  "dos_ef_per_ev_cell": 13.33
}



[3]
{
  "formula": "Pr2Ho3Sc2",
  "functional": "PBE",
  "state": "relaxed",
  "lattice": [[5.494, -2.493, 0.000], [5.494, 2.493, 0.000], [-1.169, 0.000, 7.768]],
  "species": ["Pr", "Pr", "Ho", "Ho", "Ho", "Sc", "Sc"],
  "frac_coords": [[0.074, 0.074, 0.225], [0.926, 0.926, 0.775], [0.356, 0.356, 0.071], [0.500, 0.500, 0.500], [0.644, 0.644, 0.929], [0.215, 0.215, 0.641], [0.785, 0.785, 0.359]],
  "formation_energy_kj_per_mol_atoms": 4.93,
  "magmom_total_mub_per_cell": 0.0,
  "e_above_lowest_polymorph_kcal_per_mol_atoms": 0.379,
  "dos_ef_per_ev_cell": 10.21
}



[4]
{
  "formula": "Pr6Ho5Sc",
  "functional": "PBE",
  "state": "relaxed",
  "lattice": [[-2.570, 4.994, 7.692], [2.570, -4.994, 7.692], [2.570, 4.994, -7.692]],
  "species": ["Pr", "Pr", "Pr", "Pr", "Pr", "Pr", "Ho", "Ho", "Ho", "Ho", "Ho", "Sc"],
  "frac_coords": [[0.082, 0.334, 0.748], [0.246, 0.000, 0.246], [0.413, 0.666, 0.748], [0.587, 0.334, 0.252], [0.754, 0.000, 0.754], [0.918, 0.666, 0.252], [0.166, 0.166, 0.000], [0.334, 0.834, 0.500], [0.500, 0.500, 0.000], [0.666, 0.166, 0.500], [0.834, 0.834, 0.000], [0.000, 0.500, 0.500]],
  "formation_energy_kj_per_mol_atoms": 2.62,
  "magmom_total_mub_per_cell": 0.0,
  "dos_ef_per_ev_cell": 16.29
}